(1)
A plane-wave DFT calculation with PBE was carried out for crystalline Er6TlOs at its relaxed geometry.

Cell and atoms, written as POSCAR:
```
Er6TlOs
1.0
-2.3407 -5.0985 3.9114
-4.2195 -4.6972 -2.6671
2.8092 -6.7952 -1.2366
Os Tl Er
1 1 6
direct
0.0000 0.0000 0.0000
0.5000 0.5000 0.5000
0.7870 0.0361 0.7566
0.5820 0.2119 0.2433
0.4180 0.7881 0.7567
0.9630 0.5819 0.2430
0.0370 0.4181 0.7570
0.2130 0.9639 0.2434
```

Output
Symmetry = No. 2
Crystal system = triclinic

***

(2)
A plane-wave DFT calculation with PBE was carried out for crystalline Er5Tl2Os at its relaxed geometry.

Cell and atoms, written as POSCAR:
```
Er5Tl2Os
1.0
-2.8975 3.5556 1.7196
-4.5484 -1.3579 -4.8561
-5.6199 -8.2399 7.5679
Tl Er Os
4 10 2
direct
0.5000 0.3908 0.8398
0.5000 0.6092 0.1602
0.5000 0.1092 0.3398
0.5000 0.8908 0.6602
0.0000 0.1196 0.7896
0.5000 0.6728 0.4147
0.0000 0.5000 0.0000
0.0000 0.8804 0.2104
0.0000 0.3804 0.2896
0.0000 0.6196 0.7104
0.5000 0.3272 0.5853
0.5000 0.8272 0.9147
0.5000 0.1728 0.0853
0.0000 0.0000 0.5000
0.0000 0.0000 0.0000
0.0000 0.5000 0.5000
```

Output
Symmetry = No. 55
Crystal system = orthorhombic

***

| no. | calculated total energy (eV/cell) | D(E_F) (states/eV per cell) |
| --- | --- | --- |
| 1 | -40.76 | 9.891 |
| 2 | -82.49 | 9.952 |